A geometry-optimized Dy3CoTeCl structure, computed with PBE-GGA.

a b c (Å): 4.0751 8.3748 9.6484
angles (deg): 96.04 90.00 90.00
Last column: nearest neighbours and their distance in Å.
Fractional positions:
Dy (0.7500, 0.7983, 0.1191)  2 Co 2.82, 1 Cl 2.86, 1 Te 3.15
Te (0.2500, 0.0914, 0.1829)  5 Dy 3.11-3.20
Dy (0.7500, 0.3572, 0.6112)  2 Cl 2.69, 1 Co 2.75
Dy (0.2500, 0.6297, 0.8318)  3 Co 2.72-2.74
Cl (0.7500, 0.8528, 0.4163)  3 Dy 2.69-2.86
Co (0.7500, 0.4351, 0.8957)  6 Dy 2.72-2.82, 2 Co 2.99
Co (0.2500, 0.5649, 0.1043)  6 Dy 2.72-2.82, 2 Co 2.99
Dy (0.7500, 0.3703, 0.1682)  3 Co 2.72-2.74
Cl (0.2500, 0.1472, 0.5837)  3 Dy 2.69-2.86
Te (0.7500, 0.9086, 0.8171)  5 Dy 3.11-3.20
Dy (0.2500, 0.6428, 0.3888)  2 Cl 2.69, 1 Co 2.75
Dy (0.2500, 0.2017, 0.8809)  2 Co 2.82, 1 Cl 2.86, 1 Te 3.15

Output
The value obtained for the formation energy from raw total energies is -898 meV/atom. Its symmetry is P2_1/m, No. 11. The calculation puts the density of states at the Fermi level at 0.758 states/eV per atom. The calculation puts the total moment at 0.000 Bohr magnetons per cell.